## i
A plane-wave DFT calculation with meta-GGA SCAN was carried out for a PBEsol-optimized structure of KFe2Ru.

a = 2.6712 Å, b = 3.6543 Å, c = 7.3955 Å
α = 90.00°, β = 93.52°, γ = 90.00°
Each line ends with the local moment (μB).
Atoms (fractional coordinates):
1 Fe 0.0235 0.0000 0.6517  2.89
2 Fe 0.9765 0.0000 0.3483  2.89
3 K 0.5000 0.5000 0.0000  -0.01
4 Ru 0.5000 0.5000 0.5000  0.09



## ii
A plane-wave DFT calculation with meta-GGA SCAN was carried out for a PBEsol-optimized structure of KFe2Ru.

a = 2.8033 Å, b = 2.8033 Å, c = 8.3937 Å
α = 90.00°, β = 90.00°, γ = 90.00°
Each line ends with the local moment (μB).
Atoms (fractional coordinates):
1 Fe 0.0000 0.0000 0.0027  2.56
2 Fe 0.5000 0.5000 0.1628  3.03
3 K 0.0000 0.0000 0.5057  -0.01
4 Ru 0.5000 0.5000 0.8287  0.16



## iii
A plane-wave DFT calculation with meta-GGA SCAN was carried out for a PBEsol-optimized structure of KFe2Ru.

a = 2.6725 Å, b = 4.2821 Å, c = 6.9087 Å
α = 95.32°, β = 90.00°, γ = 108.18°
Each line ends with the local moment (μB).
Atoms (fractional coordinates):
1 Fe 0.9940 0.9879 0.0072  2.62
2 Fe 0.2790 0.5579 0.8556  3.00
3 K 0.4998 0.9995 0.5002  0.00
4 Ru 0.7273 0.4546 0.1370  0.31



Quick ranking, most stable first: i, ii, iii.



## i
A plane-wave DFT calculation with meta-GGA SCAN was carried out for a PBEsol-optimized structure of KFe2Sb.

a = 3.1513 Å, b = 3.1513 Å, c = 8.0568 Å
α = 90.00°, β = 90.00°, γ = 90.00°
Each line ends with the local moment (μB).
Atoms (fractional coordinates):
1 Fe 0.0000 0.0000 0.0301  2.60
2 Fe 0.5000 0.5000 0.1562  2.97
3 K 0.0000 0.0000 0.4840  0.00
4 Sb 0.5000 0.5000 0.8298  -0.03



## ii
A plane-wave DFT calculation with meta-GGA SCAN was carried out for a PBEsol-optimized structure of KFe2Sb.

a = 4.6980 Å, b = 4.6980 Å, c = 4.6980 Å
α = 60.00°, β = 60.00°, γ = 60.00°
Each line ends with the local moment (μB).
Atoms (fractional coordinates):
1 Fe 0.2500 0.2500 0.2500  3.02
2 Fe 0.7500 0.7500 0.7500  3.02
3 K 0.0000 0.0000 0.0000  0.02
4 Sb 0.5000 0.5000 0.5000  -0.01



Quick ranking, most stable first: i, ii.



## i
A plane-wave DFT calculation with meta-GGA SCAN was carried out for a PBEsol-optimized structure of K2ScFe.

a = 4.2524 Å, b = 4.2524 Å, c = 6.2032 Å
α = 90.00°, β = 90.00°, γ = 90.00°
Each line ends with the local moment (μB).
Atoms (fractional coordinates):
1 Fe 0.0000 0.0000 0.5000  3.06
2 K 0.0000 0.5000 0.0000  -0.02
3 K 0.5000 0.0000 0.0000  -0.02
4 Sc 0.5000 0.5000 0.5000  -0.50



## ii
A plane-wave DFT calculation with meta-GGA SCAN was carried out for a PBEsol-optimized structure of K2ScFe.

a = 3.1572 Å, b = 3.1572 Å, c = 12.2869 Å
α = 90.00°, β = 90.00°, γ = 113.38°
Each line ends with the local moment (μB).
Atoms (fractional coordinates):
1 Fe 0.5000 0.5000 0.0000  3.10
2 K 0.0000 0.0000 0.2225  -0.02
3 K 0.0000 0.0000 0.7775  -0.02
4 Sc 0.5000 0.5000 0.5000  -0.01



Quick ranking, most stable first: i, ii.



## i
A plane-wave DFT calculation with meta-GGA SCAN was carried out for a PBEsol-optimized structure of KTaFe2.

a = 2.9083 Å, b = 4.4997 Å, c = 7.0596 Å
α = 94.97°, β = 90.00°, γ = 108.85°
Each line ends with the local moment (μB).
Atoms (fractional coordinates):
1 Fe 0.7669 0.5337 0.8771  2.51
2 Fe 0.2331 0.4663 0.1229  2.51
3 K 0.0000 0.0000 0.5000  0.00
4 Ta 0.5000 0.0000 0.0000  -0.64



## ii
A plane-wave DFT calculation with meta-GGA SCAN was carried out for a PBEsol-optimized structure of KTaFe2.

a = 4.4515 Å, b = 4.4515 Å, c = 4.4515 Å
α = 60.00°, β = 60.00°, γ = 60.00°
Each line ends with the local moment (μB).
Atoms (fractional coordinates):
1 Fe 0.0000 0.0000 0.0000  2.32
2 Fe 0.2500 0.2500 0.2500  3.08
3 K 0.5000 0.5000 0.5000  -0.03
4 Ta 0.7500 0.7500 0.7500  -0.73



Quick ranking, most stable first: i, ii.



## i
A plane-wave DFT calculation with meta-GGA SCAN was carried out for a PBEsol-optimized structure of KFe2Tc.

a = 4.3352 Å, b = 4.3352 Å, c = 4.3352 Å
α = 60.00°, β = 60.00°, γ = 60.00°
Each line ends with the local moment (μB).
Atoms (fractional coordinates):
1 Fe 0.0000 0.0000 0.0000  2.38
2 Fe 0.2500 0.2500 0.2500  3.01
3 K 0.5000 0.5000 0.5000  -0.03
4 Tc 0.7500 0.7500 0.7500  -0.77



## ii
A plane-wave DFT calculation with meta-GGA SCAN was carried out for a PBEsol-optimized structure of KFe2Tc.

a = 2.6346 Å, b = 2.6346 Å, c = 9.5784 Å
α = 90.00°, β = 90.00°, γ = 108.77°
Each line ends with the local moment (μB).
Atoms (fractional coordinates):
1 Fe 0.0000 0.0000 0.2024  2.88
2 Fe 0.0000 0.0000 0.7976  2.88
3 K 0.5000 0.5000 0.5000  -0.07
4 Tc 0.5000 0.5000 0.0000  -0.11



## iii
A plane-wave DFT calculation with meta-GGA SCAN was carried out for a PBEsol-optimized structure of KFe2Tc.

a = 2.6354 Å, b = 3.4896 Å, c = 7.7652 Å
α = 90.00°, β = 90.00°, γ = 90.00°
Each line ends with the local moment (μB).
Atoms (fractional coordinates):
1 Fe 0.0000 0.0000 0.0007  2.00
2 Fe 0.5000 0.5000 0.1527  2.84
3 K 0.0000 0.0000 0.4924  -0.01
4 Tc 0.5000 0.5000 0.8542  -0.32



## iv
A plane-wave DFT calculation with meta-GGA SCAN was carried out for a PBEsol-optimized structure of KFe2Tc.

a = 2.7112 Å, b = 3.6072 Å, c = 7.4678 Å
α = 90.00°, β = 90.00°, γ = 90.00°
Each line ends with the local moment (μB).
Atoms (fractional coordinates):
1 Fe 0.0000 0.0000 0.6500  2.69
2 Fe 0.0000 0.0000 0.3500  2.69
3 K 0.5000 0.5000 0.0000  -0.01
4 Tc 0.5000 0.5000 0.5000  -0.72



Quick ranking, most stable first: iv, iii, ii, i.



## i
A plane-wave DFT calculation with meta-GGA SCAN was carried out for a PBEsol-optimized structure of KFe2Tc.

a = 2.6512 Å, b = 4.3976 Å, c = 6.8408 Å
α = 92.09°, β = 90.00°, γ = 107.54°
Each line ends with the local moment (μB).
Atoms (fractional coordinates):
1 Fe 0.7590 0.5181 0.8648  2.62
2 Fe 0.2410 0.4819 0.1352  2.62
3 K 0.0000 0.0000 0.5000  0.00
4 Tc 0.5000 0.0000 0.0000  -0.32



## ii
A plane-wave DFT calculation with meta-GGA SCAN was carried out for a PBEsol-optimized structure of KFe2Tc.

a = 2.6462 Å, b = 5.8080 Å, c = 5.8080 Å
α = 55.21°, β = 76.83°, γ = 76.83°
Each line ends with the local moment (μB).
Atoms (fractional coordinates):
1 Fe 0.2906 0.7094 0.7094  3.07
2 Fe 0.7094 0.2906 0.2906  3.07
3 K 0.5000 0.0000 0.0000  0.01
4 Tc 0.0000 0.5000 0.5000  0.88



Quick ranking, most stable first: i, ii.



## i
A plane-wave DFT calculation with meta-GGA SCAN was carried out for a PBEsol-optimized structure of K2FeTc.

a = 3.3891 Å, b = 5.8616 Å, c = 6.5105 Å
α = 116.75°, β = 105.09°, γ = 90.00°
Each line ends with the local moment (μB).
Atoms (fractional coordinates):
1 Fe 0.1881 0.6881 0.3761  1.95
2 K 0.9733 0.9733 0.9466  0.00
3 K 0.7658 0.2658 0.5316  0.00
4 Tc 0.5729 0.5729 0.1457  -0.23



## ii
A plane-wave DFT calculation with meta-GGA SCAN was carried out for a PBEsol-optimized structure of K2FeTc.

a = 5.4130 Å, b = 5.4130 Å, c = 5.4130 Å
α = 60.00°, β = 60.00°, γ = 60.00°
Each line ends with the local moment (μB).
Atoms (fractional coordinates):
1 K 0.2500 0.2500 0.2500  0.00
2 K 0.7500 0.7500 0.7500  0.00
3 Tc 0.5000 0.5000 0.5000  3.40
4 Fe 0.0000 0.0000 0.0000  3.34



Quick ranking, most stable first: i, ii.



## i
A plane-wave DFT calculation with meta-GGA SCAN was carried out for a PBEsol-optimized structure of KFeTc2.

a = 2.5877 Å, b = 3.3991 Å, c = 8.2565 Å
α = 90.00°, β = 90.67°, γ = 90.00°
Each line ends with the local moment (μB).
Atoms (fractional coordinates):
1 Fe 0.5000 0.5000 0.0000  1.91
2 K 0.5000 0.5000 0.5000  -0.01
3 Tc 0.9941 0.0000 0.8474  -0.36
4 Tc 0.0059 0.0000 0.1526  -0.36



## ii
A plane-wave DFT calculation with meta-GGA SCAN was carried out for a PBEsol-optimized structure of KFeTc2.

a = 4.3328 Å, b = 4.3328 Å, c = 4.3328 Å
α = 60.00°, β = 60.00°, γ = 60.00°
Each line ends with the local moment (μB).
Atoms (fractional coordinates):
1 Fe 0.0000 0.0000 0.0000  2.67
2 K 0.5000 0.5000 0.5000  -0.09
3 Tc 0.2500 0.2500 0.2500  -0.94
4 Tc 0.7500 0.7500 0.7500  -0.94



Quick ranking, most stable first: i, ii.



## i
A plane-wave DFT calculation with meta-GGA SCAN was carried out for a PBEsol-optimized structure of K2TlFe.

a = 3.3500 Å, b = 3.3500 Å, c = 10.7489 Å
α = 90.00°, β = 90.00°, γ = 93.57°
Each line ends with the local moment (μB).
Atoms (fractional coordinates):
1 Fe 0.5000 0.5000 0.0000  3.21
2 K 0.0000 0.0000 0.2302  -0.01
3 K 0.0000 0.0000 0.7698  -0.01
4 Tl 0.5000 0.5000 0.5000  0.00



## ii
A plane-wave DFT calculation with meta-GGA SCAN was carried out for a PBEsol-optimized structure of K2TlFe.

a = 4.4294 Å, b = 4.4971 Å, c = 6.4938 Å
α = 110.26°, β = 109.94°, γ = 90.00°
Each line ends with the local moment (μB).
Atoms (fractional coordinates):
1 Fe 0.0000 0.5000 0.0000  3.28
2 K 0.7461 0.7461 0.4922  -0.01
3 K 0.2539 0.2539 0.5078  -0.01
4 Tl 0.5000 0.0000 0.0000  -0.08



## iii
A plane-wave DFT calculation with meta-GGA SCAN was carried out for a PBEsol-optimized structure of K2TlFe.

a = 3.7257 Å, b = 3.7277 Å, c = 10.1303 Å
α = 90.00°, β = 90.00°, γ = 90.00°
Each line ends with the local moment (μB).
Atoms (fractional coordinates):
1 Fe 0.5000 0.5000 0.6454  2.91
2 K 0.0000 0.0000 0.9267  -0.01
3 K 0.5000 0.5000 0.3278  0.00
4 Tl 0.0000 0.0000 0.6001  -0.10



## iv
A plane-wave DFT calculation with meta-GGA SCAN was carried out for a PBEsol-optimized structure of K2TlFe.

a = 4.7040 Å, b = 5.2512 Å, c = 6.5676 Å
α = 113.56°, β = 90.00°, γ = 90.00°
Each line ends with the local moment (μB).
Atoms (fractional coordinates):
1 Fe 0.5000 0.5846 0.1692  2.93
2 K 0.0000 0.9691 0.9381  -0.01
3 K 0.5000 0.2722 0.5444  -0.01
4 Tl 0.0000 0.6661 0.3322  -0.09



Quick ranking, most stable first: iii, iv, ii, i.



## i
A plane-wave DFT calculation with meta-GGA SCAN was carried out for a PBEsol-optimized structure of KTlFe2.

a = 3.1445 Å, b = 3.1445 Å, c = 9.6496 Å
α = 80.62°, β = 80.62°, γ = 60.00°
Each line ends with the local moment (μB).
Atoms (fractional coordinates):
1 Fe 0.0105 0.0105 0.9685  2.89
2 Fe 0.7295 0.7295 0.8114  2.89
3 K 0.4935 0.4935 0.5194  -0.02
4 Tl 0.2664 0.2664 0.2007  -0.01



## ii
A plane-wave DFT calculation with meta-GGA SCAN was carried out for a PBEsol-optimized structure of KTlFe2.

a = 4.8153 Å, b = 4.8140 Å, c = 4.8153 Å
α = 59.99°, β = 90.00°, γ = 120.01°
Each line ends with the local moment (μB).
Atoms (fractional coordinates):
1 Fe 0.0000 0.0000 0.0000  3.12
2 Fe 0.2500 0.5000 0.2500  3.19
3 K 0.5000 0.0000 0.5000  -0.02
4 Tl 0.7500 0.5000 0.7500  -0.12



Quick ranking, most stable first: i, ii.



## i
A plane-wave DFT calculation with meta-GGA SCAN was carried out for a PBEsol-optimized structure of KFeW2.

a = 3.1838 Å, b = 3.1838 Å, c = 8.1984 Å
α = 90.00°, β = 90.00°, γ = 90.00°
Each line ends with the local moment (μB).
Atoms (fractional coordinates):
1 Fe 0.5000 0.5000 0.0000  2.17
2 K 0.5000 0.5000 0.5000  0.03
3 W 0.0000 0.0000 0.8601  0.05
4 W 0.0000 0.0000 0.1399  0.05



## ii
A plane-wave DFT calculation with meta-GGA SCAN was carried out for a PBEsol-optimized structure of KFeW2.

a = 2.6605 Å, b = 4.9087 Å, c = 4.9087 Å
α = 90.00°, β = 90.00°, γ = 90.00°
Each line ends with the local moment (μB).
Atoms (fractional coordinates):
1 Fe 0.5000 0.5000 0.5000  2.58
2 K 0.5000 0.0000 0.0000  -0.06
3 W 0.0000 0.0000 0.5000  -0.39
4 W 0.0000 0.5000 0.0000  -0.39



Quick ranking, most stable first: i, ii.



## i
A plane-wave DFT calculation with meta-GGA SCAN was carried out for a PBEsol-optimized structure of KFe2W.

a = 2.5901 Å, b = 4.9389 Å, c = 4.9389 Å
α = 89.89°, β = 90.00°, γ = 90.00°
Each line ends with the local moment (μB).
Atoms (fractional coordinates):
1 Fe 0.0000 0.5000 0.0000  2.70
2 Fe 0.0000 0.0000 0.5000  2.70
3 K 0.5000 0.0000 0.0000  -0.03
4 W 0.5000 0.5000 0.5000  -0.57



## ii
A plane-wave DFT calculation with meta-GGA SCAN was carried out for a PBEsol-optimized structure of KFe2W.

a = 3.0005 Å, b = 3.0005 Å, c = 7.8857 Å
α = 90.00°, β = 90.00°, γ = 90.00°
Each line ends with the local moment (μB).
Atoms (fractional coordinates):
1 Fe 0.0000 0.0000 0.6626  1.88
2 Fe 0.0000 0.0000 0.3374  1.88
3 K 0.5000 0.5000 0.0000  0.01
4 W 0.5000 0.5000 0.5000  -0.58



Quick ranking, most stable first: ii, i.